First-principles (PBE) data for a relaxed structure of Ti2AgF8, as listed in the Alexandria database.

## Properties
**Formation energy from raw total energies**: -2.87 eV per atom
**Energy**: -5.9220 eV/atom

abc: 5.169 6.066 6.066
angles: 63.74 91.62 91.62
Fractional positions:
Ti: 0.494 0.727 0.727
Ti: 0.506 0.273 0.273
Ag: 0.000 0.000 0.000
F: 0.364 0.364 0.942
F: 0.636 0.058 0.636
F: 0.167 0.801 0.801
F: 0.833 0.199 0.199
F: 0.364 0.942 0.364
F: 0.636 0.636 0.058
F: 0.719 0.597 0.597
F: 0.281 0.403 0.403



First-principles (PBE) data for a relaxed structure of TbPr5Nd4, as listed in the Alexandria database.

## Properties
**Formation energy**: 84 meV/atom
**Energy**: -4.6755 eV/atom

abc: 3.586 11.340 9.360
angles: 72.93 101.05 90.00
Fractional positions:
Tb: 0.500 0.000 0.000
Pr: 0.792 0.600 0.584
Pr: 0.895 0.288 0.789
Pr: 0.105 0.712 0.211
Pr: 0.500 0.500 0.000
Pr: 0.208 0.400 0.416
Nd: 0.304 0.082 0.608
Nd: 0.908 0.805 0.816
Nd: 0.696 0.918 0.392
Nd: 0.092 0.195 0.184



First-principles (PBE) data for a relaxed structure of AcPaPtO6, as listed in the Alexandria database.

## Properties
**Formation energy from raw total energies**: -2.40 eV per atom
**Energy**: -7.8908 eV/atom

abc: 5.167 5.167 10.444
angles: 90.00 90.00 90.00
Fractional positions:
Ac: 0.500 0.500 0.506
Ac: 0.000 0.000 0.006
Pa: 0.500 0.500 0.170
Pa: 0.000 0.000 0.670
Pt: 0.500 0.500 0.832
Pt: 0.000 0.000 0.332
O: 0.168 0.832 0.491
O: 0.832 0.168 0.491
O: 0.332 0.332 0.991
O: 0.668 0.668 0.991
O: 0.203 0.797 0.193
O: 0.797 0.203 0.193
O: 0.297 0.297 0.693
O: 0.703 0.703 0.693
O: 0.784 0.216 0.813
O: 0.216 0.784 0.813
O: 0.716 0.716 0.313
O: 0.284 0.284 0.313



First-principles (PBE) data for a relaxed structure of Er2TlCuTe4, as listed in the Alexandria database.

## Properties
**Formation energy from raw total energies**: -0.94 eV per atom
**Energy**: -4.4636 eV/atom

abc: 4.335 7.776 15.303
angles: 90.00 90.00 106.18
Fractional positions:
Er: 0.366 0.732 0.567
Er: 0.634 0.268 0.067
Er: 0.634 0.268 0.433
Er: 0.366 0.732 0.933
Tl: 0.117 0.235 0.750
Tl: 0.883 0.765 0.250
Cu: 0.841 0.683 0.750
Cu: 0.159 0.317 0.250
Te: 0.268 0.537 0.113
Te: 0.732 0.463 0.613
Te: 0.732 0.463 0.887
Te: 0.268 0.537 0.387
Te: 0.000 0.000 0.500
Te: 0.000 0.000 0.000
Te: 0.441 0.882 0.750
Te: 0.559 0.118 0.250



First-principles (PBE) data for a relaxed structure of LaClO, as listed in the Alexandria database.

## Properties
**Formation energy from raw total energies**: -2.53 eV per atom
**Energy**: -6.4383 eV/atom

abc: 4.475 4.475 4.475
angles: 60.00 60.00 60.00
Fractional positions:
Cl: 0.000 0.000 0.000
O: 0.500 0.500 0.500
La: 0.250 0.250 0.250



First-principles (PBE) data for a relaxed structure of CrOsRh2, as listed in the Alexandria database.

## Properties
**Formation energy**: 9 meV/atom
**Energy**: -8.8801 eV/atom

abc: 4.649 4.649 4.673
angles: 79.96 79.96 33.57
Fractional positions:
Cr: 0.501 0.501 0.503
Os: 0.245 0.245 0.249
Rh: 0.997 0.997 0.010
Rh: 0.756 0.756 0.737



First-principles (PBE) data for a relaxed structure of Bi2TeSe, as listed in the Alexandria database.

## Properties
**Formation energy from raw total energies**: 0.01 eV per atom
**Energy**: -3.5843 eV/atom

abc: 5.395 5.395 5.395
angles: 60.00 60.00 60.00
Fractional positions:
Te: 0.500 0.500 0.500
Bi: 0.250 0.250 0.250
Bi: 0.750 0.750 0.750
Se: 0.000 0.000 0.000



First-principles (PBE) data for a relaxed structure of Tb7Y3In, as listed in the Alexandria database.

## Properties
**Formation energy**: 115 meV/atom
**Energy**: -4.8432 eV/atom

abc: 8.531 6.981 6.981
angles: 120.00 90.00 90.00
Fractional positions:
Tb: 0.123 0.168 0.832
Tb: 0.123 0.168 0.337
Tb: 0.112 0.667 0.333
Tb: 0.446 0.830 0.170
Tb: 0.446 0.339 0.170
Tb: 0.446 0.830 0.661
Tb: 0.123 0.663 0.832
Y: 0.781 0.500 0.500
Y: 0.781 0.500 0.000
Y: 0.781 0.000 0.500
In: 0.453 0.333 0.667



First-principles (PBE) data for a relaxed structure of SiPIr2, as listed in the Alexandria database.

## Properties
**Formation energy from raw total energies**: -0.06 eV per atom
**Energy**: -7.1952 eV/atom

abc: 5.303 5.303 5.303
angles: 148.38 133.41 57.40
Fractional positions:
Ir: 0.015 0.015 0.000
Ir: 0.727 0.227 0.500
P: 0.511 0.511 0.000
Si: 0.247 0.747 0.500



First-principles (PBE) data for a relaxed structure of K3TbU3S8, as listed in the Alexandria database.

## Properties
**Formation energy from raw total energies**: -1.53 eV per atom
**Energy**: -6.5179 eV/atom

abc: 8.054 8.054 8.825
angles: 117.16 90.00 120.00
Fractional positions:
K: 0.000 0.000 0.000
K: 0.000 0.500 0.000
K: 0.500 0.500 0.000
Tb: 0.000 0.000 0.500
U: 0.500 0.000 0.500
U: 0.500 0.500 0.500
U: 0.000 0.500 0.500
S: 0.266 0.532 0.298
S: 0.734 0.468 0.702
S: 0.766 0.533 0.302
S: 0.234 0.467 0.698
S: 0.766 0.036 0.302
S: 0.234 0.964 0.698
S: 0.269 0.036 0.302
S: 0.731 0.964 0.698



First-principles (PBE) data for a relaxed structure of Li6Cd5Au, as listed in the Alexandria database.

## Properties
**Formation energy**: -311 meV/atom
**Energy**: -1.9221 eV/atom

abc: 4.652 8.069 8.069
angles: 120.88 106.53 106.53
Fractional positions:
Li: 0.240 0.081 0.400
Li: 0.760 0.600 0.919
Li: 0.731 0.231 0.231
Li: 0.269 0.769 0.769
Li: 0.240 0.400 0.081
Li: 0.760 0.919 0.600
Au: 0.000 0.000 0.000
Cd: 0.500 0.172 0.828
Cd: 0.000 0.334 0.666
Cd: 0.500 0.500 0.500
Cd: 0.000 0.666 0.334
Cd: 0.500 0.828 0.172



First-principles (PBE) data for a relaxed structure of RbZrAlTl2, as listed in the Alexandria database.

## Properties
**Formation energy**: 1020 meV/atom
**Energy**: -2.5783 eV/atom

abc: 5.369 5.852 5.369
angles: 90.00 90.00 90.00
Fractional positions:
Tl: 0.000 0.000 0.500
Tl: 0.500 0.000 0.000
Rb: 0.000 0.500 0.000
Zr: 0.500 0.500 0.500
Al: 0.000 0.000 0.000



> Which value of energy does entry 9 give?

-7.1952 eV/atom